No. 1
The following is a PBE-GGA calculation of a geometry-optimized Lu4GaCoC2 structure, from OQMD.

```
data_Lu4GaCoC2
_chemical_formula_sum 'Lu4 Ga1 Co1 C2'
_symmetry_space_group_name_H-M 'P -6 m 2'
_symmetry_Int_Tables_number 187
_symmetry_space_group_name_Hall 'P -6 2'
_cell_length_a 3.4651
_cell_length_b 3.4651
_cell_length_c 14.2749
_cell_angle_alpha 90.00
_cell_angle_beta 90.00
_cell_angle_gamma 120.00
loop_
_atom_site_label
_atom_site_fract_x
_atom_site_fract_y
_atom_site_fract_z
_atom_site_occupancy
Lu1 0.0000 0.0000 0.1403 1
Lu2 0.3333 0.6667 0.3253 1
Ga1 0.0000 0.0000 0.5000 1
Co1 0.3333 0.6667 0.0000 1
C1 0.6667 0.3333 0.2363 1
```

Uncorrected energy in eV for the cell shown: -48.7
V in A^3/atom: 18.55

No. 2
The following is a PBE-GGA calculation of a geometry-optimized Nd3Te2P structure, from OQMD.

```
data_Nd3Te2P
_chemical_formula_sum 'Nd3 Te2 P1'
_symmetry_space_group_name_H-M 'P -3 m 1'
_symmetry_Int_Tables_number 164
_symmetry_space_group_name_Hall '-P 3 2"'
_cell_length_a 4.3244
_cell_length_b 4.3244
_cell_length_c 11.0660
_cell_angle_alpha 90.00
_cell_angle_beta 90.00
_cell_angle_gamma 120.00
loop_
_atom_site_label
_atom_site_fract_x
_atom_site_fract_y
_atom_site_fract_z
_atom_site_occupancy
Nd1 0.0000 0.0000 0.0000 1
Nd2 0.3333 0.6667 0.3629 1
Te1 0.3333 0.6667 0.8242 1
P1 0.0000 0.0000 0.5000 1
```

Uncorrected energy in eV for the cell shown: -35.1
V in A^3/atom: 29.87

No. 3
The following is a PBE-GGA calculation of a geometry-optimized HfZnHg structure, from OQMD.

```
data_HfZnHg
_chemical_formula_sum 'Hf2 Zn2 Hg2'
_symmetry_space_group_name_H-M 'P 4/n m m'
_symmetry_Int_Tables_number 129
_cell_length_a 3.289
_cell_length_b 3.289
_cell_length_c 10.358
_cell_angle_alpha 90.00
_cell_angle_beta 90.00
_cell_angle_gamma 90.00
loop_
_symmetry_equiv_pos_as_xyz
'x,y,z'
'-x,-y,-z'
'-y+1/2,x,z'
'y+1/2,-x,-z'
'-x+1/2,-y+1/2,z'
'x+1/2,y+1/2,-z'
'y,-x+1/2,z'
'-y,x+1/2,-z'
'x+1/2,-y,-z'
'-x+1/2,y,z'
'-y,-x,-z'
'y,x,z'
'-x,y+1/2,-z'
'x,-y+1/2,z'
'y+1/2,x+1/2,-z'
'-y+1/2,-x+1/2,z'
loop_
_atom_site_label
_atom_site_fract_x
_atom_site_fract_y
_atom_site_fract_z
_atom_site_occupancy
Hf1 0.250 0.250 0.227 1
Zn1 0.250 0.250 0.936 1
Hg1 0.250 0.250 0.593 1
```

Calculated formation energy in eV/atom: 0.027
V in A^3/atom: 18.68

No. 4
The following is a PBE-GGA calculation of a geometry-optimized HfBeCu structure, from OQMD.

```
data_HfBeCu
_chemical_formula_sum 'Hf4 Be4 Cu4'
_symmetry_space_group_name_H-M 'F -4 3 m'
_symmetry_Int_Tables_number 216
_symmetry_space_group_name_Hall 'F -4 2 3'
_cell_length_a 5.656
_cell_length_b 5.656
_cell_length_c 5.656
_cell_angle_alpha 90.00
_cell_angle_beta 90.00
_cell_angle_gamma 90.00
loop_
_atom_site_label
_atom_site_fract_x
_atom_site_fract_y
_atom_site_fract_z
_atom_site_occupancy
Hf1 0.000 0.000 0.000 1
Be1 0.250 0.250 0.750 1
Cu1 0.000 0.000 0.500 1
```

Uncorrected energy in eV for the cell shown: -67.0
V in A^3/atom: 15.08

No. 5
The following is a PBE-GGA calculation of a geometry-optimized PmNdTa structure, from OQMD.

```
data_PmNdTa
_chemical_formula_sum 'Pm4 Nd4 Ta4'
_symmetry_space_group_name_H-M 'F -4 3 m'
_symmetry_Int_Tables_number 216
_symmetry_space_group_name_Hall 'F -4 2 3'
_cell_length_a 7.156
_cell_length_b 7.156
_cell_length_c 7.156
_cell_angle_alpha 90.00
_cell_angle_beta 90.00
_cell_angle_gamma 90.00
loop_
_atom_site_label
_atom_site_fract_x
_atom_site_fract_y
_atom_site_fract_z
_atom_site_occupancy
Pm1 0.000 0.000 0.000 1
Nd1 0.250 0.250 0.250 1
Ta1 0.000 0.000 0.500 1
```

Calculated formation energy in eV/atom: 1.318
V in A^3/atom: 30.54

No. 6
The following is a PBE-GGA calculation of a geometry-optimized KSnAu3S4 structure, from OQMD.

```
data_KSnAu3S4
_chemical_formula_sum 'K1 Sn1 Au3 S4'
_symmetry_space_group_name_H-M 'P -4 3 m'
_symmetry_Int_Tables_number 215
_symmetry_space_group_name_Hall 'P -4 2 3'
_cell_length_a 6.369
_cell_length_b 6.369
_cell_length_c 6.369
_cell_angle_alpha 90.00
_cell_angle_beta 90.00
_cell_angle_gamma 90.00
loop_
_atom_site_label
_atom_site_fract_x
_atom_site_fract_y
_atom_site_fract_z
_atom_site_occupancy
K1 0.000 0.000 0.000 1
Sn1 0.500 0.500 0.500 1
Au1 0.000 0.500 0.500 1
S1 0.281 0.281 0.281 1
```

Uncorrected energy in eV for the cell shown: -32.5
V in A^3/atom: 28.71

No. 7
The following is a PBE-GGA calculation of a geometry-optimized Nb2MoIr structure, from OQMD.

```
data_Nb2MoIr
_chemical_formula_sum 'Nb8 Mo4 Ir4'
_symmetry_space_group_name_H-M 'F -4 3 m'
_symmetry_Int_Tables_number 216
_symmetry_space_group_name_Hall 'F -4 2 3'
_cell_length_a 6.419
_cell_length_b 6.419
_cell_length_c 6.419
_cell_angle_alpha 90.00
_cell_angle_beta 90.00
_cell_angle_gamma 90.00
loop_
_atom_site_label
_atom_site_fract_x
_atom_site_fract_y
_atom_site_fract_z
_atom_site_occupancy
Nb1 0.000 0.000 0.000 1
Nb2 0.250 0.250 0.250 1
Mo1 0.000 0.000 0.500 1
Ir1 0.250 0.250 0.750 1
```

Calculated formation energy in eV/atom: -0.126
V in A^3/atom: 16.53

No. 8
The following is a PBE-GGA calculation of a geometry-optimized YCuTe2PbS structure, from OQMD.

```
data_YCuTe2PbS
_chemical_formula_sum 'Y4 Cu4 Te8 Pb4 S4'
_symmetry_space_group_name_H-M 'C m c m'
_symmetry_Int_Tables_number 63
_symmetry_space_group_name_Hall '-C 2c 2'
_cell_length_a 4.196
_cell_length_b 14.472
_cell_length_c 10.400
_cell_angle_alpha 90.00
_cell_angle_beta 90.00
_cell_angle_gamma 90.00
loop_
_atom_site_label
_atom_site_fract_x
_atom_site_fract_y
_atom_site_fract_z
_atom_site_occupancy
Y1 0.000 0.000 0.000 1
Cu1 0.000 0.480 0.250 1
Te1 0.000 0.352 0.065 1
Pb1 0.000 0.275 0.750 1
S1 0.000 0.064 0.250 1
```

Uncorrected energy in eV for the cell shown: -117.4
V in A^3/atom: 26.31

No. 9
The following is a PBE-GGA calculation of a geometry-optimized Y5ThSb6 structure, from OQMD.

```
data_Y5ThSb6
_chemical_formula_sum 'Y10 Th2 Sb12'
_symmetry_space_group_name_H-M 'C 1 2/m 1'
_symmetry_Int_Tables_number 12
_cell_length_a 7.640
_cell_length_b 13.228
_cell_length_c 7.643
_cell_angle_alpha 90.00
_cell_angle_beta 109.48
_cell_angle_gamma 90.00
loop_
_symmetry_equiv_pos_as_xyz
'x,y,z'
'-x,-y,-z'
'-x,y,-z'
'x,-y,z'
'x+1/2,y+1/2,z'
'-x+1/2,-y+1/2,-z'
'-x+1/2,y+1/2,-z'
'x+1/2,-y+1/2,z'
loop_
_atom_site_label
_atom_site_fract_x
_atom_site_fract_y
_atom_site_fract_z
_atom_site_occupancy
Y1 0.000 0.000 0.000 1
Y2 0.000 0.167 0.500 1
Y3 0.000 0.335 0.000 1
Th1 0.000 0.500 0.500 1
Sb1 0.246 0.000 0.751 1
Sb2 0.247 0.169 0.247 1
```

Uncorrected energy in eV for the cell shown: -156.2
V in A^3/atom: 30.34

No. 10
The following is a PBE-GGA calculation of a geometry-optimized Pm2Sb structure, from OQMD.

```
data_Pm2Sb
_chemical_formula_sum 'Pm8 Sb4'
_symmetry_space_group_name_H-M 'F m -3 m'
_symmetry_Int_Tables_number 225
_symmetry_space_group_name_Hall '-F 4 2 3'
_cell_length_a 7.355
_cell_length_b 7.355
_cell_length_c 7.355
_cell_angle_alpha 90.00
_cell_angle_beta 90.00
_cell_angle_gamma 90.00
loop_
_atom_site_label
_atom_site_fract_x
_atom_site_fract_y
_atom_site_fract_z
_atom_site_occupancy
Pm1 0.250 0.250 0.250 1
Sb1 0.000 0.000 0.000 1
```

Uncorrected energy in eV for the cell shown: -62.2
V in A^3/atom: 33.16

No. 11
The following is a PBE-GGA calculation of a geometry-optimized NbAg2Au structure, from OQMD.

```
data_NbAg2Au
_chemical_formula_sum 'Nb4 Ag8 Au4'
_symmetry_space_group_name_H-M 'F -4 3 m'
_symmetry_Int_Tables_number 216
_symmetry_space_group_name_Hall 'F -4 2 3'
_cell_length_a 6.552
_cell_length_b 6.552
_cell_length_c 6.552
_cell_angle_alpha 90.00
_cell_angle_beta 90.00
_cell_angle_gamma 90.00
loop_
_atom_site_label
_atom_site_fract_x
_atom_site_fract_y
_atom_site_fract_z
_atom_site_occupancy
Nb1 0.000 0.000 0.000 1
Ag1 0.000 0.000 0.500 1
Ag2 0.250 0.250 0.750 1
Au1 0.250 0.250 0.250 1
```

Calculated formation energy in eV/atom: 0.174
V in A^3/atom: 17.58

No. 12
The following is a PBE-GGA calculation of a geometry-optimized TaSiIr structure, from OQMD.

```
data_TaSiIr
_chemical_formula_sum 'Ta4 Si4 Ir4'
_symmetry_space_group_name_H-M 'P n m a'
_symmetry_Int_Tables_number 62
_cell_length_a 6.426
_cell_length_b 3.812
_cell_length_c 7.324
_cell_angle_alpha 90.00
_cell_angle_beta 90.00
_cell_angle_gamma 90.00
loop_
_symmetry_equiv_pos_as_xyz
'x,y,z'
'-x,-y,-z'
'-x+1/2,-y,z+1/2'
'x+1/2,y,-z+1/2'
'x+1/2,-y+1/2,-z+1/2'
'-x+1/2,y+1/2,z+1/2'
'-x,y+1/2,-z'
'x,-y+1/2,z'
loop_
_atom_site_label
_atom_site_fract_x
_atom_site_fract_y
_atom_site_fract_z
_atom_site_occupancy
Ta1 0.024 0.250 0.172 1
Si1 0.233 0.750 0.376 1
Ir1 0.145 0.250 0.565 1
```

Uncorrected energy in eV for the cell shown: -114.3
V in A^3/atom: 14.95

No. 13
The following is a PBE-GGA calculation of a geometry-optimized K2AuO4 structure, from OQMD.

```
data_K2AuO4
_chemical_formula_sum 'K8 Au4 O16'
_symmetry_space_group_name_H-M 'I 41/a m d'
_symmetry_Int_Tables_number 141
_cell_length_a 7.281
_cell_length_b 7.281
_cell_length_c 8.504
_cell_angle_alpha 90.00
_cell_angle_beta 90.00
_cell_angle_gamma 90.00
loop_
_symmetry_equiv_pos_as_xyz
'x,y,z'
'-x,-y,-z'
'-y+1/4,x+3/4,z+1/4'
'y+1/4,-x+3/4,-z+1/4'
'-x+1/2,-y,z+1/2'
'x+1/2,y,-z+1/2'
'y+1/4,-x+1/4,z+3/4'
'-y+1/4,x+1/4,-z+3/4'
'x,-y,-z'
'-x,y,z'
'-y+1/4,-x+1/4,-z+3/4'
'y+1/4,x+1/4,z+3/4'
'-x+1/2,y,-z+1/2'
'x+1/2,-y,z+1/2'
'y+1/4,x+3/4,-z+1/4'
'-y+1/4,-x+3/4,z+1/4'
'x+1/2,y+1/2,z+1/2'
'-x+1/2,-y+1/2,-z+1/2'
'-y+3/4,x+1/4,z+3/4'
'y+3/4,-x+1/4,-z+3/4'
'-x,-y+1/2,z'
'x,y+1/2,-z'
'y+3/4,-x+3/4,z+1/4'
'-y+3/4,x+3/4,-z+1/4'
'x+1/2,-y+1/2,-z+1/2'
'-x+1/2,y+1/2,z+1/2'
'-y+3/4,-x+3/4,-z+1/4'
'y+3/4,x+3/4,z+1/4'
'-x,y+1/2,-z'
'x,-y+1/2,z'
'y+3/4,x+1/4,-z+3/4'
'-y+3/4,-x+1/4,z+3/4'
loop_
_atom_site_label
_atom_site_fract_x
_atom_site_fract_y
_atom_site_fract_z
_atom_site_occupancy
K1 0.000 0.000 0.000 1
Au1 0.000 0.250 0.375 1
O1 0.000 0.010 0.670 1
```

Uncorrected energy in eV for the cell shown: -108.3
V in A^3/atom: 16.10

No. 14
The following is a PBE-GGA calculation of a geometry-optimized RbFeBr3 structure, from OQMD.

```
data_RbFeBr3
_chemical_formula_sum 'Rb2 Fe2 Br6'
_symmetry_space_group_name_H-M 'P -1'
_symmetry_Int_Tables_number 2
_cell_length_a 6.400
_cell_length_b 7.779
_cell_length_c 8.363
_cell_angle_alpha 63.48
_cell_angle_beta 87.66
_cell_angle_gamma 89.73
loop_
_symmetry_equiv_pos_as_xyz
'x,y,z'
'-x,-y,-z'
loop_
_atom_site_label
_atom_site_fract_x
_atom_site_fract_y
_atom_site_fract_z
_atom_site_occupancy
Rb1 0.243 0.411 0.263 1
Fe1 0.146 0.032 0.890 1
Br1 0.234 0.946 0.194 1
Br2 0.242 0.771 0.819 1
Br3 0.248 0.361 0.697 1
```

Uncorrected energy in eV for the cell shown: -38.6
V in A^3/atom: 37.22

No. 15
The following is a PBE-GGA calculation of a geometry-optimized TaCuOsPb structure, from OQMD.

```
data_TaCuOsPb
_chemical_formula_sum 'Ta4 Cu4 Os4 Pb4'
_symmetry_space_group_name_H-M 'F -4 3 m'
_symmetry_Int_Tables_number 216
_symmetry_space_group_name_Hall 'F -4 2 3'
_cell_length_a 6.502
_cell_length_b 6.502
_cell_length_c 6.502
_cell_angle_alpha 90.00
_cell_angle_beta 90.00
_cell_angle_gamma 90.00
loop_
_atom_site_label
_atom_site_fract_x
_atom_site_fract_y
_atom_site_fract_z
_atom_site_occupancy
Ta1 0.000 0.000 0.000 1
Cu1 0.000 0.000 0.500 1
Os1 0.250 0.250 0.250 1
Pb1 0.250 0.250 0.750 1
```

Uncorrected energy in eV for the cell shown: -112.9
V in A^3/atom: 17.18

No. 16
The following is a PBE-GGA calculation of a geometry-optimized CsZrAgSe3 structure, from OQMD.

```
data_CsZrAgSe3
_chemical_formula_sum 'Cs4 Zr4 Ag4 Se12'
_symmetry_space_group_name_H-M 'C m c m'
_symmetry_Int_Tables_number 63
_symmetry_space_group_name_Hall '-C 2c 2'
_cell_length_a 4.022
_cell_length_b 16.223
_cell_length_c 10.537
_cell_angle_alpha 90.00
_cell_angle_beta 90.00
_cell_angle_gamma 90.00
loop_
_atom_site_label
_atom_site_fract_x
_atom_site_fract_y
_atom_site_fract_z
_atom_site_occupancy
Cs1 0.000 0.249 0.250 1
Zr1 0.000 0.000 0.000 1
Ag1 0.000 0.459 0.750 1
Se1 0.000 0.063 0.750 1
Se2 0.000 0.385 0.533 1
```

Uncorrected energy in eV for the cell shown: -116.1
V in A^3/atom: 28.65

No. 17
The following is a PBE-GGA calculation of a geometry-optimized TlCu structure, from OQMD.

```
data_TlCu
_chemical_formula_sum 'Tl1 Cu1'
_symmetry_space_group_name_H-M 'P -6 m 2'
_symmetry_Int_Tables_number 187
_symmetry_space_group_name_Hall 'P -6 2'
_cell_length_a 3.2301
_cell_length_b 3.2301
_cell_length_c 4.3087
_cell_angle_alpha 90.00
_cell_angle_beta 90.00
_cell_angle_gamma 120.00
loop_
_atom_site_label
_atom_site_fract_x
_atom_site_fract_y
_atom_site_fract_z
_atom_site_occupancy
Tl1 0.0000 0.0000 0.0000 1
Cu1 0.3333 0.6667 0.5000 1
```

Uncorrected energy in eV for the cell shown: -5.3
V in A^3/atom: 19.47

No. 18
The following is a PBE-GGA calculation of a geometry-optimized Zn2GaGePd4 structure, from OQMD.

```
data_Zn2GaGePd4
_chemical_formula_sum 'Zn2 Ga1 Ge1 Pd4'
_symmetry_space_group_name_H-M 'P 4/m m m'
_symmetry_Int_Tables_number 123
_symmetry_space_group_name_Hall '-P 4 2'
_cell_length_a 4.387
_cell_length_b 4.387
_cell_length_c 6.191
_cell_angle_alpha 90.00
_cell_angle_beta 90.00
_cell_angle_gamma 90.00
loop_
_atom_site_label
_atom_site_fract_x
_atom_site_fract_y
_atom_site_fract_z
_atom_site_occupancy
Zn1 0.000 0.000 0.000 1
Zn2 0.500 0.500 0.500 1
Ga1 0.000 0.000 0.500 1
Ge1 0.500 0.500 0.000 1
Pd1 0.000 0.500 0.248 1
```

Uncorrected energy in eV for the cell shown: -34.9
V in A^3/atom: 14.89

No. 19
The following is a PBE-GGA calculation of a geometry-optimized Gd2HoMg3CdIn2 structure, from OQMD.

```
data_Gd2HoMg3CdIn2
_chemical_formula_sum 'Gd4 Ho2 Mg6 Cd2 In4'
_symmetry_space_group_name_H-M 'A m m 2'
_symmetry_Int_Tables_number 38
_cell_length_a 4.641
_cell_length_b 13.043
_cell_length_c 7.576
_cell_angle_alpha 90.00
_cell_angle_beta 90.00
_cell_angle_gamma 90.00
loop_
_symmetry_equiv_pos_as_xyz
'x,y,z'
'-x,-y,z'
'-x,y,z'
'x,-y,z'
'x,y+1/2,z+1/2'
'-x,-y+1/2,z+1/2'
'-x,y+1/2,z+1/2'
'x,-y+1/2,z+1/2'
loop_
_atom_site_label
_atom_site_fract_x
_atom_site_fract_y
_atom_site_fract_z
_atom_site_occupancy
Gd1 0.000 0.213 0.000 1
Ho1 0.000 0.000 0.361 1
Mg1 0.500 0.000 0.027 1
Mg2 0.500 0.120 0.666 1
Cd1 0.000 0.000 0.784 1
In1 0.500 0.166 0.287 1
```

Uncorrected energy in eV for the cell shown: -56.5
V in A^3/atom: 25.47

No. 20
The following is a PBE-GGA calculation of a geometry-optimized SrMg2ZnPt structure, from OQMD.

```
data_SrMg2ZnPt
_chemical_formula_sum 'Sr2 Mg4 Zn2 Pt2'
_symmetry_space_group_name_H-M 'I 4 m m'
_symmetry_Int_Tables_number 107
_symmetry_space_group_name_Hall 'I 4 -2'
_cell_length_a 4.389
_cell_length_b 4.389
_cell_length_c 12.081
_cell_angle_alpha 90.00
_cell_angle_beta 90.00
_cell_angle_gamma 90.00
loop_
_atom_site_label
_atom_site_fract_x
_atom_site_fract_y
_atom_site_fract_z
_atom_site_occupancy
Sr1 0.000 0.000 0.000 1
Mg1 0.000 0.500 0.236 1
Zn1 0.000 0.000 0.393 1
Pt1 0.000 0.000 0.605 1
```

Uncorrected energy in eV for the cell shown: -29.4
V in A^3/atom: 23.27